# AlCuHgMo

A geometry-optimized AlCuHgMo structure (PBE-GGA, OQMD).

```
data_AlCuHgMo
_cell_length_a 4.5235
_cell_length_b 4.5235
_cell_length_c 4.5235
_cell_angle_alpha 60.00
_cell_angle_beta 60.00
_cell_angle_gamma 60.00
_symmetry_space_group_name_H-M 'P 1'
_symmetry_Int_Tables_number 1
loop_
_symmetry_equiv_pos_as_xyz
'x,y,z'
loop_
_atom_site_label
_atom_site_fract_x
_atom_site_fract_y
_atom_site_fract_z
Al1 0.0000 0.0000 0.0000
Cu1 0.7500 0.7500 0.7500
Mo1 0.2500 0.2500 0.2500
Hg1 0.5000 0.5000 0.5000
```

Output
**Total magnetization**: 1.462 μB per cell
**SG**: F-43m
**VASP energy**: -4.2389 eV per atom

---

# AlCuHgMo

A geometry-optimized AlCuHgMo structure (PBE-GGA, OQMD).

```
data_AlCuHgMo
_cell_length_a 4.5362
_cell_length_b 4.5362
_cell_length_c 4.5362
_cell_angle_alpha 60.00
_cell_angle_beta 60.00
_cell_angle_gamma 60.00
_symmetry_space_group_name_H-M 'P 1'
_symmetry_Int_Tables_number 1
loop_
_symmetry_equiv_pos_as_xyz
'x,y,z'
loop_
_atom_site_label
_atom_site_fract_x
_atom_site_fract_y
_atom_site_fract_z
Cu1 0.7500 0.7500 0.7500
Al1 0.0000 0.0000 0.0000
Hg1 0.2500 0.2500 0.2500
Mo1 0.5000 0.5000 0.5000
```

Output
**Total magnetization**: 2.016 μB per cell
**SG**: F-43m
**VASP energy**: -4.1424 eV per atom

---

# AlCuHgOs

A geometry-optimized AlCuHgOs structure (PBE-GGA, OQMD).

```
data_AlCuHgOs
_cell_length_a 4.4424
_cell_length_b 4.4424
_cell_length_c 4.4424
_cell_angle_alpha 60.00
_cell_angle_beta 60.00
_cell_angle_gamma 60.00
_symmetry_space_group_name_H-M 'P 1'
_symmetry_Int_Tables_number 1
loop_
_symmetry_equiv_pos_as_xyz
'x,y,z'
loop_
_atom_site_label
_atom_site_fract_x
_atom_site_fract_y
_atom_site_fract_z
Hg1 0.5000 0.5000 0.5000
Cu1 0.7500 0.7500 0.7500
Al1 0.0000 0.0000 0.0000
Os1 0.2500 0.2500 0.2500
```

Output
**Total magnetization**: 0.002 μB per cell
**SG**: F-43m
**VASP energy**: -4.4154 eV per atom

---

# AlCuHgPd

A geometry-optimized AlCuHgPd structure (PBE-GGA, OQMD).

```
data_AlCuHgPd
_cell_length_a 4.4737
_cell_length_b 4.4737
_cell_length_c 4.4737
_cell_angle_alpha 60.00
_cell_angle_beta 60.00
_cell_angle_gamma 60.00
_symmetry_space_group_name_H-M 'P 1'
_symmetry_Int_Tables_number 1
loop_
_symmetry_equiv_pos_as_xyz
'x,y,z'
loop_
_atom_site_label
_atom_site_fract_x
_atom_site_fract_y
_atom_site_fract_z
Al1 0.0000 0.0000 0.0000
Pd1 0.2500 0.2500 0.2500
Cu1 0.7500 0.7500 0.7500
Hg1 0.5000 0.5000 0.5000
```

Output
**SG**: F-43m
**VASP energy**: -3.4161 eV per atom